Hf2MgIn4 (PBE, optimized geometry); ρ = 6.92 Mg/m³; crystal system = tetragonal; ΔE_f = 0.4986 eV per atom; energy = -4.138 eV/atom
1.0
-2.653 2.653 7.161
2.653 -2.653 7.161
2.653 2.653 -7.161
Hf Mg In
2 1 4
Cartesian
0.000 0.000 1.400
0.000 0.000 12.921
0.000 0.000 7.161
2.653 0.000 0.000
0.000 0.000 4.348
0.000 2.653 0.000
0.000 0.000 9.973